# 1
4
Lattice="1.5715 0.9073 8.0009 -1.5715 0.9073 8.0009 0.0000 -1.8146 8.0009" Properties=species:S:1:pos:R:3 comment="GGA-PBE TeOs2Se, relaxed" dft_energy_ev_per_atom=-6.489 formation_energy_uncorrected_mev_per_atom=782 n_ef_per_ev_cell=3.051 magnetic_moment_mub_per_atom=0.000 pbc="T T T"
Te 0.0000 0.0000 0.0000
Os 0.0000 0.0000 5.9540
Os 0.0000 0.0000 18.0487
Se 0.0000 0.0000 12.0014

# 2
12
Lattice="2.7112 -5.5568 0.0000 2.7112 5.5568 0.0000 -2.6820 0.0000 8.3558" Properties=species:S:1:pos:R:3 comment="GGA-PBE LiTl6Pd5, relaxed" dft_energy_ev_per_atom=-3.604 n_ef_per_ev_cell=3.967 formation_enthalpy_0k_kj_per_mol_atoms=-9.41 magnetic_moment_mub_per_atom=0.000 pbc="T T T"
Li 0.0000 0.0000 0.0000
Tl 0.7318 3.6346 6.0843
Tl 2.0085 3.6346 2.2715
Tl 0.5780 0.0000 6.5198
Tl 2.1623 0.0000 1.8360
Tl 0.7318 -3.6346 6.0843
Tl 2.0085 -3.6346 2.2715
Pd -1.3410 0.0000 4.1779
Pd 2.7112 2.1513 0.0000
Pd 1.3702 1.4632 4.1779
Pd 1.3702 -1.4632 4.1779
Pd 2.7112 -2.1513 0.0000

# 3
7
Lattice="-1.9322 1.9322 4.8370 1.9322 -1.9322 4.8370 1.9322 1.9322 -4.8370" Properties=species:S:1:pos:R:3 comment="GGA-PBE BeNi4B2, relaxed" dft_energy_ev_per_atom=-5.395 n_ef_per_ev_cell=2.254 formation_enthalpy_0k_kj_per_mol_atoms=33.62 magnetic_moment_mub_per_atom=0.000 pbc="T T T"
Be 0.0000 0.0000 0.0000
Ni 1.9322 0.0000 0.0000
Ni 0.0000 0.0000 2.0890
Ni 0.0000 1.9322 0.0000
Ni 0.0000 0.0000 7.5851
B 0.0000 0.0000 3.9815
B 0.0000 0.0000 5.6926

# 4
3
Lattice="4.0709 0.0000 0.0000 -2.0355 3.5255 0.0000 0.0000 0.0000 5.3114" Properties=species:S:1:pos:R:3 comment="GGA-PBE BaMnRu, relaxed" dft_energy_ev_per_atom=-6.276 n_ef_per_ev_cell=4.243 formation_enthalpy_0k_kj_per_mol_atoms=49.52 magnetic_moment_mub_per_atom=0.775 pbc="T T T"
Ba 0.0000 0.0000 0.0000
Mn 2.0355 1.1752 2.6557
Ru 0.0000 2.3503 2.6557

# 5
68
Lattice="8.5206 0.0000 0.0000 0.0000 8.7556 0.0000 -8.3327 0.0000 12.0328" Properties=species:S:1:pos:R:3 comment="GGA-PBE InSb3P6O24, relaxed" dft_energy_ev_per_atom=-6.785 formation_energy_uncorrected_mev_per_atom=-1886 n_ef_per_ev_cell=0.000 magnetic_moment_mub_per_atom=0.000 pbc="T T T"
In 0.0000 1.9207 0.0000
In -4.1663 6.8349 6.0164
Sb -4.1181 1.9209 8.8476
Sb 0.0482 6.8347 2.8312
Sb 0.1111 2.4645 6.0933
Sb 4.2774 6.2911 0.0769
Sb 4.3297 2.4828 2.8292
Sb 0.1634 6.2728 8.8456
P -2.9473 1.2209 5.6139
P -7.1136 7.5347 11.6303
P -5.1756 3.2224 11.7404
P -1.0093 5.5332 5.7240
P 1.2876 1.1566 3.2169
P -2.8788 7.5990 9.2333
P -1.1036 3.2777 9.1795
P 3.0628 5.4779 3.1631
P 1.9164 0.0464 7.4554
P 6.0828 8.7092 1.4390
P 2.5161 4.3571 7.5537
P 6.6824 4.3985 1.5373
O -7.2936 0.2325 11.2921
O -3.1273 8.5231 5.2757
O -4.7490 3.6947 8.2033
O -0.5827 5.0609 2.1869
O -3.2405 1.5378 7.1031
O 0.9258 7.2178 1.0867
O 1.7015 3.2859 0.0992
O -2.4648 5.4697 6.1156
O 0.4009 1.6523 2.1113
O -3.7655 7.1033 8.1277
O -1.4535 1.5737 5.3048
O -5.6199 7.1819 11.3212
O -4.9818 2.1835 10.5996
O -0.8155 6.5721 4.5832
O -0.4380 4.1676 5.2044
O -4.6043 4.5880 11.2208
O -3.2372 0.3131 9.6363
O 0.9292 8.4425 3.6199
O -2.5697 2.9215 9.5520
O 1.5966 5.8341 3.5356
O 1.1857 2.0212 4.5064
O -2.9806 6.7344 10.5228
O -0.9482 3.0749 7.6466
O 3.2182 5.6807 1.6302
O 4.0879 2.7422 0.8696
O -0.0784 6.0134 6.8860
O 2.8172 1.1596 2.8456
O -1.3491 7.5960 8.8620
O 0.5886 0.7527 7.0041
O 4.7550 8.0029 0.9877
O 3.1036 3.9260 3.4096
O -1.0628 4.8296 9.4260
O 1.7689 3.2031 6.8318
O 5.9352 5.5524 0.8154
O -0.1026 2.4875 9.9749
O 4.0637 6.2681 3.9585
O 6.8810 0.4627 0.2708
O 2.7147 8.2928 6.2872
O 5.6328 1.0555 2.4527
O 1.4664 7.7001 8.4691
O 7.0791 3.3564 0.5381
O 2.9128 5.3992 6.5545
O 5.8151 3.8461 2.7264
O 1.6488 4.9095 8.7428
O 4.6765 2.1987 4.7753
O 0.5101 6.5568 10.7917
O 2.7073 1.0362 8.3712
O 6.8736 7.7194 2.3548

# 6
5
Lattice="4.6945 0.0000 0.0000 0.0000 4.6945 0.0000 0.0000 0.0000 4.7598" Properties=species:S:1:pos:R:3 comment="GGA-PBE TbHo2AlO, relaxed" dft_energy_ev_per_atom=-5.866 formation_energy_uncorrected_mev_per_atom=-1369 n_ef_per_ev_cell=1.816 magnetic_moment_mub_per_atom=0.000 pbc="T T T"
Tb 0.0000 0.0000 0.0000
Ho 0.0000 2.3472 2.3799
Ho 2.3472 0.0000 2.3799
Al 2.3472 2.3472 0.0000
O 0.0000 0.0000 2.3799